# Pr14SmPu PBE-GGA relaxed
# **ΔH_f (0 K)**: 0.04 eV per atom
data_Pr14SmPu
_cell_length_a 10.426
_cell_length_b 10.438
_cell_length_c 10.444
_cell_angle_alpha 90.00
_cell_angle_beta 90.00
_cell_angle_gamma 90.00
_space_group_name_H-M_alt 'A m m 2'
_space_group_IT_number 38
loop_
_space_group_symop_operation_xyz
'x,y,z'
'-x,-y,z'
'-x,y,z'
'x,-y,z'
'x,y+1/2,z+1/2'
'-x,-y+1/2,z+1/2'
'-x,y+1/2,z+1/2'
'x,-y+1/2,z+1/2'
loop_
_atom_site_label
_atom_site_fract_x
_atom_site_fract_y
_atom_site_fract_z
_atom_site_occupancy
Pr1 0.000 0.000 0.000 1
Pr2 0.000 0.000 0.500 1
Pr3 0.000 0.250 0.250 1
Pr4 0.254 0.000 0.252 1
Pr5 0.254 0.248 0.500 1
Pr6 0.255 0.000 0.748 1
Pr7 0.500 0.249 0.250 1
Sm1 0.500 0.000 0.000 1
Pu1 0.500 0.000 0.500 1

---

# PrSmPu4 PBE-GGA relaxed
# **ΔH_f (0 K)**: 0.25 eV per atom
data_PrSmPu4
_cell_length_a 8.812
_cell_length_b 8.812
_cell_length_c 8.812
_cell_angle_alpha 90.00
_cell_angle_beta 90.00
_cell_angle_gamma 90.00
_space_group_name_H-M_alt 'F -4 3 m'
_space_group_IT_number 216
_space_group_name_Hall 'F -4 2 3'
loop_
_atom_site_label
_atom_site_fract_x
_atom_site_fract_y
_atom_site_fract_z
_atom_site_occupancy
Pr1 0.000 0.000 0.000 1
Sm1 0.250 0.250 0.250 1
Pu1 0.125 0.125 0.625 1

---

# PrSmPuSn PBE-GGA relaxed
# **ΔH_f (0 K)**: -0.18 eV per atom
data_PrSmPuSn
_cell_length_a 7.774
_cell_length_b 7.774
_cell_length_c 7.774
_cell_angle_alpha 90.00
_cell_angle_beta 90.00
_cell_angle_gamma 90.00
_space_group_name_H-M_alt 'F -4 3 m'
_space_group_IT_number 216
_space_group_name_Hall 'F -4 2 3'
loop_
_atom_site_label
_atom_site_fract_x
_atom_site_fract_y
_atom_site_fract_z
_atom_site_occupancy
Pr1 0.000 0.000 0.000 1
Sm1 0.000 0.000 0.500 1
Pu1 0.250 0.250 0.250 1
Sn1 0.250 0.250 0.750 1

---

# Pr2SmPuTe5 PBE-GGA relaxed
# **Raw total energy**: -0.41410 Ry per atom
data_Pr2SmPuTe5
_cell_length_a 5.620
_cell_length_b 5.620
_cell_length_c 11.864
_cell_angle_alpha 90.00
_cell_angle_beta 90.00
_cell_angle_gamma 90.00
_space_group_name_H-M_alt 'P 4/m m m'
_space_group_IT_number 123
_space_group_name_Hall '-P 4 2'
loop_
_atom_site_label
_atom_site_fract_x
_atom_site_fract_y
_atom_site_fract_z
_atom_site_occupancy
Pr1 0.000 0.000 0.166 1
Sm1 0.500 0.500 0.000 1
Pu1 0.500 0.500 0.500 1
Te1 0.000 0.000 0.500 1
Te2 0.000 0.500 0.000 1
Te3 0.500 0.500 0.250 1

---

# PrSm3Pu2Te6 PBE-GGA relaxed
# **Raw total energy**: -0.50359 Ry per atom
data_PrSm3Pu2Te6
_cell_length_a 19.436
_cell_length_b 4.439
_cell_length_c 8.940
_cell_angle_alpha 90.00
_cell_angle_beta 103.48
_cell_angle_gamma 90.00
_space_group_name_H-M_alt 'C 1 2/m 1'
_space_group_IT_number 12
loop_
_space_group_symop_operation_xyz
'x,y,z'
'-x,-y,-z'
'-x,y,-z'
'x,-y,z'
'x+1/2,y+1/2,z'
'-x+1/2,-y+1/2,-z'
'-x+1/2,y+1/2,-z'
'x+1/2,-y+1/2,z'
loop_
_atom_site_label
_atom_site_fract_x
_atom_site_fract_y
_atom_site_fract_z
_atom_site_occupancy
Pr1 0.000 0.000 0.000 1
Sm1 0.000 0.000 0.500 1
Sm2 0.164 0.500 0.834 1
Pu1 0.167 0.500 0.333 1
Te1 0.001 0.500 0.255 1
Te2 0.167 0.000 0.583 1
Te3 0.169 0.000 0.086 1

---

# Pr3Sm3PuTe8 PBE-GGA relaxed
# **Raw total energy**: -0.43567 Ry per atom
data_Pr3Sm3PuTe8
_cell_length_a 8.9329
_cell_length_b 8.9329
_cell_length_c 21.9901
_cell_angle_alpha 90.00
_cell_angle_beta 90.00
_cell_angle_gamma 120.00
_space_group_name_H-M_alt 'R -3 m'
_space_group_IT_number 166
_space_group_name_Hall '-R 3 2"'
loop_
_atom_site_label
_atom_site_fract_x
_atom_site_fract_y
_atom_site_fract_z
_atom_site_occupancy
Pr1 0.0000 0.5000 0.0000 1
Sm1 0.0000 0.5000 0.5000 1
Pu1 0.0000 0.0000 0.5000 1
Te1 0.0000 0.0000 0.2478 1
Te2 0.0073 0.5037 0.7504 1

---

# Pr3SmPu2Te6 PBE-GGA relaxed
# **Raw total energy**: -0.50559 Ry per atom
data_Pr3SmPu2Te6
_cell_length_a 19.577
_cell_length_b 4.465
_cell_length_c 9.003
_cell_angle_alpha 90.00
_cell_angle_beta 103.67
_cell_angle_gamma 90.00
_space_group_name_H-M_alt 'C 1 2/m 1'
_space_group_IT_number 12
loop_
_space_group_symop_operation_xyz
'x,y,z'
'-x,-y,-z'
'-x,y,-z'
'x,-y,z'
'x+1/2,y+1/2,z'
'-x+1/2,-y+1/2,-z'
'-x+1/2,y+1/2,-z'
'x+1/2,-y+1/2,z'
loop_
_atom_site_label
_atom_site_fract_x
_atom_site_fract_y
_atom_site_fract_z
_atom_site_occupancy
Pr1 0.000 0.000 0.000 1
Pr2 0.166 0.500 0.334 1
Sm1 0.000 0.000 0.500 1
Pu1 0.166 0.500 0.833 1
Te1 0.002 0.500 0.747 1
Te2 0.166 0.000 0.589 1
Te3 0.169 0.000 0.079 1

---

# Pr3Sm2PuTe6 PBE-GGA relaxed
# **Raw total energy**: -0.45004 Ry per atom
data_Pr3Sm2PuTe6
_cell_length_a 19.572
_cell_length_b 4.461
_cell_length_c 9.018
_cell_angle_alpha 90.00
_cell_angle_beta 103.55
_cell_angle_gamma 90.00
_space_group_name_H-M_alt 'C 1 2/m 1'
_space_group_IT_number 12
loop_
_space_group_symop_operation_xyz
'x,y,z'
'-x,-y,-z'
'-x,y,-z'
'x,-y,z'
'x+1/2,y+1/2,z'
'-x+1/2,-y+1/2,-z'
'-x+1/2,y+1/2,-z'
'x+1/2,-y+1/2,z'
loop_
_atom_site_label
_atom_site_fract_x
_atom_site_fract_y
_atom_site_fract_z
_atom_site_occupancy
Pr1 0.000 0.000 0.000 1
Pr2 0.167 0.500 0.334 1
Sm1 0.165 0.500 0.830 1
Pu1 0.000 0.000 0.500 1
Te1 0.001 0.500 0.745 1
Te2 0.164 0.000 0.586 1
Te3 0.169 0.000 0.079 1

---

# Pr3Sm2Y6Pu PBE-GGA relaxed
# **ΔH_f (0 K)**: 0.04 eV per atom
data_Pr3Sm2Y6Pu
_cell_length_a 6.254
_cell_length_b 10.838
_cell_length_c 11.838
_cell_angle_alpha 90.00
_cell_angle_beta 100.16
_cell_angle_gamma 90.00
_space_group_name_H-M_alt 'C 1 2/m 1'
_space_group_IT_number 12
loop_
_space_group_symop_operation_xyz
'x,y,z'
'-x,-y,-z'
'-x,y,-z'
'x,-y,z'
'x+1/2,y+1/2,z'
'-x+1/2,-y+1/2,-z'
'-x+1/2,y+1/2,-z'
'x+1/2,-y+1/2,z'
loop_
_atom_site_label
_atom_site_fract_x
_atom_site_fract_y
_atom_site_fract_z
_atom_site_occupancy
Pr1 0.000 0.000 0.000 1
Pr2 0.000 0.333 0.000 1
Sm1 0.000 0.167 0.500 1
Y1 0.246 0.336 0.745 1
Y2 0.247 0.500 0.254 1
Pu1 0.000 0.500 0.500 1

---

# Pr2Sm6Y3Pu PBE-GGA relaxed
# **ΔH_f (0 K)**: 0.05 eV per atom
data_Pr2Sm6Y3Pu
_cell_length_a 6.265
_cell_length_b 10.863
_cell_length_c 11.938
_cell_angle_alpha 90.00
_cell_angle_beta 100.16
_cell_angle_gamma 90.00
_space_group_name_H-M_alt 'C 1 2/m 1'
_space_group_IT_number 12
loop_
_space_group_symop_operation_xyz
'x,y,z'
'-x,-y,-z'
'-x,y,-z'
'x,-y,z'
'x+1/2,y+1/2,z'
'-x+1/2,-y+1/2,-z'
'-x+1/2,y+1/2,-z'
'x+1/2,-y+1/2,z'
loop_
_atom_site_label
_atom_site_fract_x
_atom_site_fract_y
_atom_site_fract_z
_atom_site_occupancy
Pr1 0.000 0.167 0.000 1
Sm1 0.246 0.500 0.749 1
Sm2 0.248 0.335 0.251 1
Y1 0.000 0.000 0.500 1
Y2 0.000 0.334 0.500 1
Pu1 0.000 0.500 0.000 1

---

# Pr5PuSn3 PBE-GGA relaxed
# **ΔH_f (0 K)**: -0.54 eV per atom
data_Pr5PuSn3
_cell_length_a 9.7366
_cell_length_b 9.7366
_cell_length_c 6.6700
_cell_angle_alpha 90.00
_cell_angle_beta 90.00
_cell_angle_gamma 120.00
_space_group_name_H-M_alt 'P 63/m c m'
_space_group_IT_number 193
_space_group_name_Hall '-P 6c 2'
loop_
_atom_site_label
_atom_site_fract_x
_atom_site_fract_y
_atom_site_fract_z
_atom_site_occupancy
Pr1 0.0000 0.3195 0.2500 1
Pr2 0.3333 0.6667 0.0000 1
Pu1 0.0000 0.0000 0.0000 1
Sn1 0.0000 0.3428 0.7500 1

---

# PrPuSn PBE-GGA relaxed
# **Energy above the most stable polymorph in this dataset**: 0.643 eV per atom
# **ΔH_f (0 K)**: 0.19 eV per atom
data_PrPuSn
_cell_length_a 3.254
_cell_length_b 3.254
_cell_length_c 17.892
_cell_angle_alpha 90.00
_cell_angle_beta 90.00
_cell_angle_gamma 90.00
_space_group_name_H-M_alt 'I 4 m m'
_space_group_IT_number 107
_space_group_name_Hall 'I 4 -2'
loop_
_atom_site_label
_atom_site_fract_x
_atom_site_fract_y
_atom_site_fract_z
_atom_site_occupancy
Pr1 0.000 0.000 0.000 1
Pu1 0.000 0.000 0.184 1
Sn1 0.000 0.000 0.361 1

---

# Pr3PuSn12 PBE-GGA relaxed
# **ΔH_f (0 K)**: -0.47 eV per atom
data_Pr3PuSn12
_cell_length_a 4.756
_cell_length_b 4.756
_cell_length_c 19.046
_cell_angle_alpha 90.00
_cell_angle_beta 90.00
_cell_angle_gamma 90.00
_space_group_name_H-M_alt 'P 4/m m m'
_space_group_IT_number 123
_space_group_name_Hall '-P 4 2'
loop_
_atom_site_label
_atom_site_fract_x
_atom_site_fract_y
_atom_site_fract_z
_atom_site_occupancy
Pr1 0.000 0.000 0.000 1
Pr2 0.000 0.000 0.255 1
Pu1 0.000 0.000 0.500 1
Sn1 0.000 0.500 0.127 1
Sn2 0.000 0.500 0.380 1
Sn3 0.500 0.500 0.000 1
Sn4 0.500 0.500 0.254 1
Sn5 0.500 0.500 0.500 1

---

# PrPu2Sn PBE-GGA relaxed
# **Energy above the most stable polymorph in this dataset**: 0.261 eV per atom
# **ΔH_f (0 K)**: -0.01 eV per atom
data_PrPu2Sn
_cell_length_a 7.657
_cell_length_b 7.657
_cell_length_c 7.657
_cell_angle_alpha 90.00
_cell_angle_beta 90.00
_cell_angle_gamma 90.00
_space_group_name_H-M_alt 'F m -3 m'
_space_group_IT_number 225
_space_group_name_Hall '-F 4 2 3'
loop_
_atom_site_label
_atom_site_fract_x
_atom_site_fract_y
_atom_site_fract_z
_atom_site_occupancy
Pr1 0.000 0.000 0.000 1
Pu1 0.250 0.250 0.250 1
Sn1 0.000 0.000 0.500 1

---

# PrPuSn PBE-GGA relaxed
# **Energy above the most stable polymorph in this dataset**: 0.293 eV per atom
# **ΔH_f (0 K)**: -0.16 eV per atom
data_PrPuSn
_cell_length_a 5.3640
_cell_length_b 5.3640
_cell_length_c 3.3371
_cell_angle_alpha 90.00
_cell_angle_beta 90.00
_cell_angle_gamma 120.00
_space_group_name_H-M_alt 'P -6 m 2'
_space_group_IT_number 187
_space_group_name_Hall 'P -6 2'
loop_
_atom_site_label
_atom_site_fract_x
_atom_site_fract_y
_atom_site_fract_z
_atom_site_occupancy
Pr1 0.0000 0.0000 0.0000 1
Pu1 0.3333 0.6667 0.0000 1
Sn1 0.6667 0.3333 0.5000 1

---

# PrPuSn PBE-GGA relaxed
# **Energy above the most stable polymorph in this dataset**: 0.333 eV per atom
# **ΔH_f (0 K)**: -0.12 eV per atom
data_PrPuSn
_cell_length_a 5.3706
_cell_length_b 5.3706
_cell_length_c 6.7266
_cell_angle_alpha 90.00
_cell_angle_beta 90.00
_cell_angle_gamma 120.00
_space_group_name_H-M_alt 'P 63/m m c'
_space_group_IT_number 194
_space_group_name_Hall '-P 6c 2c'
loop_
_atom_site_label
_atom_site_fract_x
_atom_site_fract_y
_atom_site_fract_z
_atom_site_occupancy
Pr1 0.3333 0.6667 0.2500 1
Pu1 0.3333 0.6667 0.7500 1
Sn1 0.0000 0.0000 0.0000 1

---

# PrPu2Sn9 PBE-GGA relaxed
# **ΔH_f (0 K)**: -0.42 eV per atom
data_PrPu2Sn9
_cell_length_a 4.704
_cell_length_b 4.704
_cell_length_c 14.113
_cell_angle_alpha 90.00
_cell_angle_beta 90.00
_cell_angle_gamma 90.00
_space_group_name_H-M_alt 'P 4/m m m'
_space_group_IT_number 123
_space_group_name_Hall '-P 4 2'
loop_
_atom_site_label
_atom_site_fract_x
_atom_site_fract_y
_atom_site_fract_z
_atom_site_occupancy
Pr1 0.000 0.000 0.000 1
Pu1 0.000 0.000 0.337 1
Sn1 0.000 0.500 0.173 1
Sn2 0.000 0.500 0.500 1
Sn3 0.500 0.500 0.000 1
Sn4 0.500 0.500 0.337 1

---

# PrPuSn PBE-GGA relaxed
# **Energy above the most stable polymorph in this dataset**: 0.000 eV per atom
# **ΔH_f (0 K)**: -0.45 eV per atom
data_PrPuSn
_cell_length_a 5.5922
_cell_length_b 5.5922
_cell_length_c 6.4621
_cell_angle_alpha 90.00
_cell_angle_beta 90.00
_cell_angle_gamma 120.00
_space_group_name_H-M_alt 'P 63/m m c'
_space_group_IT_number 194
_space_group_name_Hall '-P 6c 2c'
loop_
_atom_site_label
_atom_site_fract_x
_atom_site_fract_y
_atom_site_fract_z
_atom_site_occupancy
Pr1 0.3333 0.6667 0.2500 1
Pu1 0.0000 0.0000 0.0000 1
Sn1 0.3333 0.6667 0.7500 1

---

# PrPu2Sn PBE-GGA relaxed
# **Energy above the most stable polymorph in this dataset**: 0.000 eV per atom
# **ΔH_f (0 K)**: -0.27 eV per atom
data_PrPu2Sn
_cell_length_a 4.664
_cell_length_b 4.664
_cell_length_c 5.142
_cell_angle_alpha 90.00
_cell_angle_beta 90.00
_cell_angle_gamma 90.00
_space_group_name_H-M_alt 'P 4/m m m'
_space_group_IT_number 123
_space_group_name_Hall '-P 4 2'
loop_
_atom_site_label
_atom_site_fract_x
_atom_site_fract_y
_atom_site_fract_z
_atom_site_occupancy
Pr1 0.000 0.000 0.000 1
Pu1 0.000 0.500 0.500 1
Sn1 0.500 0.500 0.000 1

---

# Pr5PuSn4 PBE-GGA relaxed
# **ΔH_f (0 K)**: -0.47 eV per atom
data_Pr5PuSn4
_cell_length_a 16.628
_cell_length_b 5.520
_cell_length_c 7.330
_cell_angle_alpha 90.00
_cell_angle_beta 90.34
_cell_angle_gamma 90.00
_space_group_name_H-M_alt 'C 1 2/m 1'
_space_group_IT_number 12
loop_
_space_group_symop_operation_xyz
'x,y,z'
'-x,-y,-z'
'-x,y,-z'
'x,-y,z'
'x+1/2,y+1/2,z'
'-x+1/2,-y+1/2,-z'
'-x+1/2,y+1/2,-z'
'x+1/2,-y+1/2,z'
loop_
_atom_site_label
_atom_site_fract_x
_atom_site_fract_y
_atom_site_fract_z
_atom_site_occupancy
Pr1 0.000 0.000 0.000 1
Pr2 0.164 0.500 0.494 1
Pr3 0.166 0.500 0.008 1
Pu1 0.000 0.000 0.500 1
Sn1 0.008 0.500 0.749 1
Sn2 0.175 0.000 0.251 1